Version one
Here is a geometry-optimized DyTl2Sn structure from Alexandria. Energies are from PBE.

Unit cell a=3.5440 b=3.5440 c=34.3121 alpha=90.00 beta=90.00 gamma=120.00
With the nearest neighbours (Å) after each atom.
Space group R-3m (No. 166, hexagonal axes)
Asymmetric unit:
Dy  0.0000  0.0000  0.0000  2 Tl 3.12
Tl  0.0000  0.0000  0.0908  1 Dy 3.12, 3 Sn 3.31
Sn  0.0000  0.0000  0.5000  6 Tl 3.31, 6 Sn 3.54

Crystal system = trigonal
Fermi-level density of states = 0.6350 states/eV per atom

---

Version two
Here is a geometry-optimized DyTl2Sn structure from Alexandria. Energies are from PBE.

Unit cell a=4.6155 b=4.6155 c=5.0641 alpha=90.00 beta=90.00 gamma=90.00
With the nearest neighbours (Å) after each atom.
Space group P4/mmm (No. 123)
Asymmetric unit:
Dy  0.0000  0.0000  0.0000  4 Sn 3.26, 8 Tl 3.43
Tl  0.0000  0.5000  0.5000  4 Tl 3.26, 4 Sn 3.43, 4 Dy 3.43
Sn  0.5000  0.5000  0.0000  4 Dy 3.26, 8 Tl 3.43

Crystal system = tetragonal
Fermi-level density of states = 0.4430 states/eV per atom

---

Pick version two: it beats the second-best structure by 403 meV per atom.

---

Version one
Here is a geometry-optimized Dy5Tl2Sn2 structure from Alexandria. Energies are from PBE.

Unit cell a=15.8410 b=8.1211 c=8.0440 alpha=90.00 beta=90.00 gamma=90.00
With the nearest neighbours (Å) after each atom.
Space group Cmce (No. 64)
Asymmetric unit:
Dy  0.0000  0.0000  0.0000  4 Sn 3.13-3.18, 2 Tl 3.35
Dy  0.1353  0.1762  0.3292  3 Sn 3.09-3.30, 3 Tl 3.14-3.24
Tl  0.2112  0.0000  0.0000  7 Dy 3.14-3.35
Sn  0.0000  0.1310  0.6334  1 Sn 3.02, 8 Dy 3.09-3.30

Crystal system = orthorhombic
Fermi-level density of states = 0.9502 states/eV per atom

---

Version two
Here is a geometry-optimized Dy5Tl2Sn2 structure from Alexandria. Energies are from PBE.

Unit cell a=15.6893 b=8.1915 c=8.0925 alpha=90.00 beta=90.00 gamma=90.00
With the nearest neighbours (Å) after each atom.
Space group Cmce (No. 64)
Asymmetric unit:
Dy  0.0000  0.0000  0.0000  4 Tl 3.18-3.21, 2 Sn 3.23
Dy  0.1399  0.1735  0.3299  3 Sn 3.13-3.20, 3 Tl 3.16-3.33
Tl  0.0000  0.1304  0.6302  1 Tl 3.00, 8 Dy 3.16-3.33
Sn  0.2059  0.0000  0.0000  7 Dy 3.13-3.23

Crystal system = orthorhombic
Fermi-level density of states = 0.7410 states/eV per atom

---

Pick version one: it beats the second-best structure by 5 meV per atom.

---

Version one
Here is a geometry-optimized DyTm2Sn structure from Alexandria. Energies are from PBE.

Unit cell a=3.4426 b=3.4426 c=35.0153 alpha=90.00 beta=90.00 gamma=120.00
With the nearest neighbours (Å) after each atom.
Space group R-3m (No. 166, hexagonal axes)
Asymmetric unit:
Dy  0.0000  0.0000  0.0000  2 Tm 3.33, 6 Dy 3.44
Tm  0.0000  0.0000  0.0951  3 Sn 3.20, 1 Dy 3.33, 6 Tm 3.44
Sn  0.0000  0.0000  0.5000  6 Tm 3.20, 6 Sn 3.44

Crystal system = trigonal
Fermi-level density of states = 1.4323 states/eV per atom

---

Version two
Here is a geometry-optimized DyTm2Sn structure from Alexandria. Energies are from PBE.

Unit cell a=4.7691 b=4.7691 c=4.7587 alpha=90.00 beta=90.00 gamma=90.00
With the nearest neighbours (Å) after each atom.
Space group P4/mmm (No. 123)
Asymmetric unit:
Dy  0.0000  0.0000  0.0000  8 Tm 3.37, 4 Sn 3.37
Tm  0.0000  0.5000  0.5000  4 Sn 3.37, 4 Dy 3.37, 4 Tm 3.37
Sn  0.5000  0.5000  0.0000  8 Tm 3.37, 4 Dy 3.37

Crystal system = tetragonal
Fermi-level density of states = 1.2008 states/eV per atom

---

Version three
Here is a geometry-optimized DyTm2Sn structure from Alexandria. Energies are from PBE.

Unit cell a=6.6947 b=5.1319 c=6.7468 alpha=90.00 beta=103.89 gamma=90.00
With the nearest neighbours (Å) after each atom.
Space group P2_1/m (No. 11)
Asymmetric unit:
Dy  0.1271  0.2500  0.4096  3 Sn 3.22-3.47, 4 Tm 3.37-3.41, 2 Dy 3.46
Tm  0.1560  0.2500  0.9183  3 Sn 3.36-3.51, 4 Dy 3.37-3.61, 6 Tm 3.42-3.64
Tm  0.3720  0.7500  0.2330  4 Sn 3.07-3.44, 2 Dy 3.41, 3 Tm 3.42-3.44
Sn  0.3686  0.7500  0.7225  6 Tm 3.07-3.44, 1 Dy 3.22

Crystal system = monoclinic
Fermi-level density of states = 1.2044 states/eV per atom

---

Version four
Here is a geometry-optimized DyTm2Sn structure from Alexandria. Energies are from PBE.

Unit cell a=4.5583 b=22.0951 c=4.6258 alpha=90.00 beta=90.00 gamma=90.00
With the nearest neighbours (Å) after each atom.
Space group Cmcm (No. 63)
Asymmetric unit:
Dy  0.0000  0.1922  0.2500  5 Sn 3.14-3.30
Tm  0.0000  0.0589  0.7500  8 Tm 3.25-3.53, 2 Sn 3.28
Tm  0.0000  0.4366  0.7500  2 Sn 3.23, 6 Tm 3.25-3.53
Sn  0.0000  0.3344  0.2500  5 Dy 3.14-3.30, 4 Tm 3.23-3.28

Crystal system = orthorhombic
Fermi-level density of states = 1.0002 states/eV per atom

---

Pick version four: it beats the second-best structure by 6 meV per atom.

---

Version one
Here is a geometry-optimized DyTmSn structure from Alexandria. Energies are from PBE.

Unit cell a=4.5475 b=4.5475 c=16.5282 alpha=90.00 beta=90.00 gamma=90.00
With the nearest neighbours (Å) after each atom.
Space group I4/mmm (No. 139)
Asymmetric unit:
Dy  0.0000  0.0000  0.1749  5 Sn 3.12-3.28
Tm  0.0000  0.5000  0.0000  4 Sn 3.20, 4 Tm 3.22
Sn  0.0000  0.0000  0.3640  5 Dy 3.12-3.28, 4 Tm 3.20

Crystal system = tetragonal
Fermi-level density of states = 1.2685 states/eV per atom

---

Version two
Here is a geometry-optimized DyTmSn structure from Alexandria. Energies are from PBE.

Unit cell a=3.3196 b=3.3196 c=17.3263 alpha=90.00 beta=90.00 gamma=90.00
With the nearest neighbours (Å) after each atom.
Space group I4mm (No. 107)
Asymmetric unit:
Dy  0.0000  0.0000  0.0000  1 Sn 3.08, 4 Dy 3.32, 1 Tm 3.41
Tm  0.0000  0.0000  0.1967  4 Sn 3.20, 4 Tm 3.32, 1 Dy 3.41
Sn  0.0000  0.0000  0.8221  1 Dy 3.08, 4 Tm 3.20, 4 Sn 3.32

Crystal system = tetragonal
Fermi-level density of states = 1.5081 states/eV per atom

---

Pick version one: it beats the second-best structure by 762 meV per atom.

---

Version one
Here is a geometry-optimized DyTmSn structure from Alexandria. Energies are from PBE.

Unit cell a=5.0913 b=5.0913 c=3.7845 alpha=90.00 beta=90.00 gamma=120.00
With the nearest neighbours (Å) after each atom.
Space group P3m1 (No. 156)
Asymmetric unit:
Dy  0.0000  0.0000  0.0000  3 Sn 3.16, 3 Tm 3.39
Tm  0.6667  0.3333  0.4484  3 Sn 3.08, 3 Dy 3.39
Sn  0.3333  0.6667  0.6945  3 Tm 3.08, 3 Dy 3.16

Crystal system = trigonal
Fermi-level density of states = 0.8892 states/eV per atom

---

Version two
Here is a geometry-optimized DyTmSn structure from Alexandria. Energies are from PBE.

Unit cell a=6.3710 b=6.3710 c=8.4017 alpha=90.00 beta=90.03 gamma=90.00
With the nearest neighbours (Å) after each atom.
Space group C2/m (No. 12)
Asymmetric unit:
Dy  0.2494  0.0000  0.1549  5 Sn 3.17-3.24
Tm  0.0000  0.2501  0.5000  4 Tm 3.18-3.19, 4 Sn 3.24
Sn  0.2495  0.5000  0.2224  5 Dy 3.17-3.24, 4 Tm 3.24

Crystal system = monoclinic
Fermi-level density of states = 0.7754 states/eV per atom

---

Pick version two: it beats the second-best structure by 233 meV per atom.

---

Version one
Here is a geometry-optimized DyY2Sn structure from Alexandria. Energies are from PBE.

Unit cell a=5.1387 b=5.1387 c=17.2100 alpha=90.00 beta=90.00 gamma=120.00
With the nearest neighbours (Å) after each atom.
Space group R3m (No. 160, hexagonal axes)
Asymmetric unit:
Dy  0.0000  0.0000  0.0000  1 Sn 3.31, 6 Y 3.47-3.58
Y  0.0000  0.0000  0.5626  3 Sn 3.03
Y  0.0000  0.0000  0.7833  3 Sn 3.24, 3 Y 3.54, 3 Dy 3.58
Sn  0.0000  0.0000  0.1925  6 Y 3.03-3.24, 1 Dy 3.31

Crystal system = trigonal
Fermi-level density of states = 1.2515 states/eV per atom

---

Version two
Here is a geometry-optimized DyY2Sn structure from Alexandria. Energies are from PBE.

Unit cell a=4.8305 b=4.8305 c=4.7950 alpha=90.00 beta=90.00 gamma=90.00
With the nearest neighbours (Å) after each atom.
Space group P4/mmm (No. 123)
Asymmetric unit:
Dy  0.0000  0.0000  0.0000  8 Y 3.40, 4 Sn 3.42
Y  0.0000  0.5000  0.5000  4 Sn 3.40, 4 Dy 3.40, 4 Y 3.42
Sn  0.5000  0.5000  0.0000  8 Y 3.40, 4 Dy 3.42

Crystal system = tetragonal
Fermi-level density of states = 1.2045 states/eV per atom

---

Version three
Here is a geometry-optimized DyY2Sn structure from Alexandria. Energies are from PBE.

Unit cell a=3.7719 b=3.7719 c=8.3822 alpha=90.00 beta=90.00 gamma=90.00
With the nearest neighbours (Å) after each atom.
Space group P4/mmm (No. 123)
Asymmetric unit:
Dy  0.0000  0.0000  0.0000  8 Y 3.55, 4 Dy 3.77
Y  0.5000  0.5000  0.2790  4 Sn 3.25, 4 Dy 3.55
Sn  0.0000  0.0000  0.5000  8 Y 3.25

Crystal system = tetragonal
Fermi-level density of states = 1.4168 states/eV per atom

---

Version four
Here is a geometry-optimized DyY2Sn structure from Alexandria. Energies are from PBE.

Unit cell a=3.5204 b=3.5204 c=35.7684 alpha=90.00 beta=90.00 gamma=120.00
With the nearest neighbours (Å) after each atom.
Space group R-3m (No. 166, hexagonal axes)
Asymmetric unit:
Dy  0.0000  0.0000  0.0000  6 Y 3.50, 6 Dy 3.52
Y  0.0000  0.0000  0.4131  1 Sn 3.11
Sn  0.0000  0.0000  0.5000  2 Y 3.11

Crystal system = trigonal
Fermi-level density of states = 1.0728 states/eV per atom

---

Pick version two: it beats the second-best structure by 108 meV per atom.